[1]
Compound: Mg2SbP
Source: Alexandria
Functional: SCAN
Structure: PBEsol geometry

Lattice parameters (Å, degrees): 4.8845 4.8845 4.8845 60.00 60.00 60.00
Positions (direct):
P1 0.5000 0.5000 0.5000
Mg1 0.7500 0.7500 0.7500
Mg2 0.0000 0.0000 0.0000
Sb1 0.2500 0.2500 0.2500

The energy above the most stable polymorph in this dataset comes out at 464 meV per atom. Its space group is F-43m.

[2]
Compound: MgSbP
Source: Alexandria
Functional: SCAN
Structure: PBEsol geometry

Lattice parameters (Å, degrees): 3.6049 3.6049 6.0259 107.40 107.40 90.00
Positions (direct):
Mg1 0.0621 0.0621 0.1242
P1 0.5823 0.5823 0.1645
Sb1 0.3556 0.3556 0.7113

Its space group is I4mm.

no.,formation energy from raw total energies (eV per atom)
1,0.193
2,-0.158